[1]
Compound: HgF
Source: the Open Quantum Materials Database
Functional: GGA-PBE
Structure: relaxed

Properties
Polymorph energy (0 for the lowest one) = 343.1 meV per atom
Total DFT energy (no corrections) = -1.9166 eV per atom

```
2
Lattice="-0.746 -2.939 0.304 1.364 1.471 2.294 -3.469 1.026 1.406" Properties=species:S:1:pos:R:3 pbc="T T T"
Hg -0.206 0.257 1.982
F -2.645 -0.699 2.022
```

=====

[2]
Compound: HgF2
Source: the Open Quantum Materials Database
Functional: GGA-PBE
Structure: relaxed

Properties
Polymorph energy (0 for the lowest one) = 222.4 meV per atom
Total DFT energy (no corrections) = -2.5251 eV per atom

```
6
Lattice="3.627 -5.186 2.813 6.714 -0.753 -1.520 4.808 1.342 4.799" Properties=species:S:1:pos:R:3 pbc="T T T"
F 7.494 -4.316 3.691
Hg 3.787 -1.149 1.523
F 8.085 -1.052 4.684
F 9.038 -2.100 1.524
Hg 7.575 -2.298 3.046
F 5.681 -1.724 2.285
```

=====

[3]
Compound: HgF2
Source: the Open Quantum Materials Database
Functional: GGA-PBE
Structure: relaxed

Properties
Polymorph energy (0 for the lowest one) = 41.9 meV per atom
Total DFT energy (no corrections) = -2.7056 eV per atom

```
6
Lattice="3.128 -1.930 0.000 3.128 1.930 0.000 -0.004 0.000 6.995" Properties=species:S:1:pos:R:3 pbc="T T T"
F 4.106 0.000 4.426
F 0.037 0.000 6.082
Hg 2.035 0.000 3.482
F 6.215 0.000 2.584
Hg 4.215 0.000 6.980
F 2.148 0.000 0.929
```

=====

Question: Among the records above, which one has the lowest total DFT energy (no corrections)?
Answer: number 3